# ZrNb

An optimized crystal structure of ZrNb (GGA-PBE, Alexandria).

Computed properties:
For the total DFT energy (no corrections), the calculation gives -8.956 eV/atom. The value obtained for the formation enthalpy at 0 K is 0.35 eV per atom. The density of states at the Fermi level is 2.345 states/eV/f.u. Its space group is P6_3/m (176).

abc: 9.2373 9.2373 3.5606
angles: 90.00 90.00 120.00
Atoms (fractional coordinates):
1 Zr 0.1686 0.3113 0.2500
2 Zr 0.8573 0.1686 0.7500
3 Zr 0.6887 0.8573 0.2500
4 Zr 0.8314 0.6887 0.7500
5 Zr 0.1427 0.8314 0.2500
6 Zr 0.3113 0.1427 0.7500
7 Nb 0.8762 0.4591 0.2500
8 Nb 0.4171 0.8762 0.7500
9 Nb 0.5409 0.4171 0.2500
10 Nb 0.1238 0.5409 0.7500
11 Nb 0.5829 0.1238 0.2500
12 Nb 0.4591 0.5829 0.7500